Computed, not measured: crystalline Li4NiBi2Pt at its relaxed geometry at the PBE level of DFT.

DFT total energy	-3.831	eV/atom
calculated density	8.8	g/cm³

```
Li4NiBi2Pt
1.0
-1.1746 -4.3754 -0.3074
1.2822 -0.0382 -4.3558
5.9301 -1.7157 1.7606
Li Pt Bi Ni
4 1 2 1
Cartesian
0.0538 -2.2068 -2.3316 Li
2.9650 -0.8578 0.8803 Li
0.9029 -2.6189 0.2887 Li
5.0810 -1.3036 -0.8597 Li
3.0188 -3.0647 -1.4513 Pt
3.9575 -3.5026 1.1956 Bi
2.0264 -0.4199 -1.7666 Bi
0.0000 0.0000 0.0000 Ni
```

=====

Computed, not measured: crystalline NbTlCuPd at its relaxed geometry at the PBE level of DFT.

distance to the lowest polymorph of the same formula	0.0709	eV/atom
calculated density	11.2	g/cm³

```
NbTlCuPd
1.0
0.0000 3.2588 3.2588
3.2588 0.0000 3.2588
3.2588 3.2588 0.0000
Pd Cu Nb Tl
1 1 1 1
Cartesian
3.2588 3.2588 3.2588 Pd
4.8882 4.8882 4.8882 Cu
1.6294 1.6294 1.6294 Nb
0.0000 0.0000 0.0000 Tl
```